(1)
# CdHg2Pb | Alexandria via LeMat-Bulk | PBEsol | optimized geometry
data_CdHg2Pb
_symmetry_space_group_name_H-M 'P 4 m m'
_symmetry_Int_Tables_number 99
_cell_length_a 3.776
_cell_length_b 3.776
_cell_length_c 6.907
_cell_angle_alpha 90.00
_cell_angle_beta 90.00
_cell_angle_gamma 90.00
loop_
_symmetry_equiv_pos_as_xyz
'x,y,z'
'-y,x,z'
'-x,-y,z'
'y,-x,z'
'-x,y,z'
'y,x,z'
'x,-y,z'
'-y,-x,z'
loop_
_atom_site_label
_atom_site_type_symbol
_atom_site_fract_x
_atom_site_fract_y
_atom_site_fract_z
Cd1 Cd 0.000 0.000 0.000
Hg1 Hg 0.000 0.000 0.455
Hg2 Hg 0.500 0.500 0.220
Pb1 Pb 0.500 0.500 0.722
# * V: 98.45 Å³/f.u.
# * DFT formation energy: 0.031 eV per atom
# * magnetic moment: 0.000 μB per atom
# * electronic total energy: -1.552 eV/atom


(2)
# Cd2AgAs | Alexandria via LeMat-Bulk | PBEsol | optimized geometry
data_Cd2AgAs
_symmetry_space_group_name_H-M 'C 1 m 1'
_symmetry_Int_Tables_number 8
_cell_length_a 11.124
_cell_length_b 2.899
_cell_length_c 5.087
_cell_angle_alpha 90.00
_cell_angle_beta 106.90
_cell_angle_gamma 90.00
loop_
_symmetry_equiv_pos_as_xyz
'x,y,z'
'x,-y,z'
'x+1/2,y+1/2,z'
'x+1/2,-y+1/2,z'
loop_
_atom_site_label
_atom_site_type_symbol
_atom_site_fract_x
_atom_site_fract_y
_atom_site_fract_z
Cd1 Cd 0.000 0.000 0.000
Cd2 Cd 0.214 0.000 0.653
Ag1 Ag 0.236 0.500 0.156
As1 As 0.444 0.000 0.464
# * V: 78.46 Å³/f.u.
# * DFT formation energy: 0.073 eV per atom
# * magnetic moment: 0.000 μB per atom
# * electronic total energy: -2.630 eV/atom


(3)
# YPdSCl2 | Alexandria via LeMat-Bulk | PBEsol | optimized geometry
data_YPdSCl2
_symmetry_space_group_name_H-M 'P 4/m m m'
_symmetry_Int_Tables_number 123
_symmetry_space_group_name_Hall '-P 4 2'
_cell_length_a 5.079
_cell_length_b 5.079
_cell_length_c 5.271
_cell_angle_alpha 90.00
_cell_angle_beta 90.00
_cell_angle_gamma 90.00
loop_
_atom_site_label
_atom_site_type_symbol
_atom_site_fract_x
_atom_site_fract_y
_atom_site_fract_z
Y1 Y 0.000 0.000 0.000
Pd1 Pd 0.500 0.500 0.500
S1 S 0.000 0.000 0.500
Cl1 Cl 0.000 0.500 0.000
# * uncorrected formation energy: -717 meV per atom
# * V: 136.00 Å³/f.u.
# * magnetic moment: 0.205 μB per atom
# * electronic total energy: -4.954 eV/atom


(4)
# U2Ga10CoNi | Alexandria via LeMat-Bulk | PBEsol | optimized geometry
data_U2Ga10CoNi
_symmetry_space_group_name_H-M 'P 4/m m m'
_symmetry_Int_Tables_number 123
_symmetry_space_group_name_Hall '-P 4 2'
_cell_length_a 4.180
_cell_length_b 4.180
_cell_length_c 13.219
_cell_angle_alpha 90.00
_cell_angle_beta 90.00
_cell_angle_gamma 90.00
loop_
_atom_site_label
_atom_site_type_symbol
_atom_site_fract_x
_atom_site_fract_y
_atom_site_fract_z
U1 U 0.000 0.000 0.248
Ga1 Ga 0.000 0.500 0.097
Ga2 Ga 0.000 0.500 0.401
Ga3 Ga 0.500 0.500 0.249
Co1 Co 0.000 0.000 0.000
Ni1 Ni 0.000 0.000 0.500
# * V: 230.98 Å³/f.u.
# * DFT formation energy: -0.338 eV per atom
# * magnetic moment: 0.076 μB per atom
# * electronic total energy: -5.453 eV/atom


(5)
# BaTaNi | Alexandria via LeMat-Bulk | PBEsol | optimized geometry
data_BaTaNi
_symmetry_space_group_name_H-M 'I 4 m m'
_symmetry_Int_Tables_number 107
_symmetry_space_group_name_Hall 'I 4 -2'
_cell_length_a 3.318
_cell_length_b 3.318
_cell_length_c 12.547
_cell_angle_alpha 90.00
_cell_angle_beta 90.00
_cell_angle_gamma 90.00
loop_
_atom_site_label
_atom_site_type_symbol
_atom_site_fract_x
_atom_site_fract_y
_atom_site_fract_z
Ba1 Ba 0.000 0.000 0.000
Ta1 Ta 0.000 0.000 0.731
Ni1 Ni 0.000 0.000 0.295
# * V: 69.08 Å³/f.u.
# * DFT formation energy: 0.446 eV per atom
# * magnetic moment: 0.000 μB per atom
# * ΔE to the lowest computed polymorph: 0.0 meV per atom
# * electronic total energy: -6.506 eV/atom


(6)
# La17Zn12 | Alexandria via LeMat-Bulk | PBEsol | optimized geometry
data_La17Zn12
_symmetry_space_group_name_H-M 'I -4 3 m'
_symmetry_Int_Tables_number 217
_symmetry_space_group_name_Hall 'I -4 2 3'
_cell_length_a 11.258
_cell_length_b 11.258
_cell_length_c 11.258
_cell_angle_alpha 90.00
_cell_angle_beta 90.00
_cell_angle_gamma 90.00
loop_
_atom_site_label
_atom_site_type_symbol
_atom_site_fract_x
_atom_site_fract_y
_atom_site_fract_z
La1 La 0.000 0.000 0.000
La2 La 0.062 0.360 0.360
La3 La 0.169 0.169 0.831
Zn1 Zn 0.095 0.095 0.265
# * V: 713.51 Å³/f.u.
# * DFT formation energy: -0.198 eV per atom
# * magnetic moment: 0.000 μB per atom
# * electronic total energy: -3.987 eV/atom


(7)
# TaIr2C | Alexandria via LeMat-Bulk | PBEsol | optimized geometry
data_TaIr2C
_symmetry_space_group_name_H-M 'I -4 2 d'
_symmetry_Int_Tables_number 122
_symmetry_space_group_name_Hall 'I -4 2bw'
_cell_length_a 5.181
_cell_length_b 5.181
_cell_length_c 9.864
_cell_angle_alpha 90.00
_cell_angle_beta 90.00
_cell_angle_gamma 90.00
loop_
_atom_site_label
_atom_site_type_symbol
_atom_site_fract_x
_atom_site_fract_y
_atom_site_fract_z
Ta1 Ta 0.000 0.000 0.000
Ir1 Ir 0.163 0.250 0.625
C1 C 0.000 0.000 0.500
# * V: 66.19 Å³/f.u.
# * DFT formation energy: 0.377 eV per atom
# * magnetic moment: 0.000 μB per atom
# * electronic total energy: -10.083 eV/atom


(8)
# Sc3Tc | Alexandria via LeMat-Bulk | PBEsol | optimized geometry
data_Sc3Tc
_symmetry_space_group_name_H-M 'P n m a'
_symmetry_Int_Tables_number 62
_cell_length_a 6.977
_cell_length_b 8.365
_cell_length_c 5.655
_cell_angle_alpha 90.00
_cell_angle_beta 90.00
_cell_angle_gamma 90.00
loop_
_symmetry_equiv_pos_as_xyz
'x,y,z'
'-x,-y,-z'
'-x+1/2,-y,z+1/2'
'x+1/2,y,-z+1/2'
'x+1/2,-y+1/2,-z+1/2'
'-x+1/2,y+1/2,z+1/2'
'-x,y+1/2,-z'
'x,-y+1/2,z'
loop_
_atom_site_label
_atom_site_type_symbol
_atom_site_fract_x
_atom_site_fract_y
_atom_site_fract_z
Sc1 Sc 0.039 0.250 0.120
Sc2 Sc 0.178 0.062 0.646
Tc1 Tc 0.117 0.750 0.451
# * V: 82.50 Å³/f.u.
# * DFT formation energy: -0.151 eV per atom
# * magnetic moment: 0.000 μB per atom
# * electronic total energy: -7.921 eV/atom


(9)
# LiCuNi2 | Alexandria via LeMat-Bulk | PBEsol | optimized geometry
data_LiCuNi2
_symmetry_space_group_name_H-M 'C m m 2'
_symmetry_Int_Tables_number 35
_cell_length_a 2.589
_cell_length_b 4.080
_cell_length_c 8.283
_cell_angle_alpha 90.00
_cell_angle_beta 90.00
_cell_angle_gamma 90.00
loop_
_symmetry_equiv_pos_as_xyz
'x,y,z'
'-x,-y,z'
'-x,y,z'
'x,-y,z'
'x+1/2,y+1/2,z'
'-x+1/2,-y+1/2,z'
'-x+1/2,y+1/2,z'
'x+1/2,-y+1/2,z'
loop_
_atom_site_label
_atom_site_type_symbol
_atom_site_fract_x
_atom_site_fract_y
_atom_site_fract_z
Li1 Li 0.000 0.000 0.000
Cu1 Cu 0.000 0.500 0.262
Ni1 Ni 0.000 0.000 0.510
Ni2 Ni 0.000 0.500 0.752
# * V: 43.75 Å³/f.u.
# * DFT formation energy: 0.063 eV per atom
# * magnetic moment: 0.129 μB per atom
# * electronic total energy: -4.591 eV/atom


(10)
# CdTe2Ir | Alexandria via LeMat-Bulk | PBEsol | optimized geometry
data_CdTe2Ir
_symmetry_space_group_name_H-M 'A m m 2'
_symmetry_Int_Tables_number 38
_cell_length_a 3.859
_cell_length_b 4.779
_cell_length_c 11.145
_cell_angle_alpha 90.00
_cell_angle_beta 90.00
_cell_angle_gamma 90.00
loop_
_symmetry_equiv_pos_as_xyz
'x,y,z'
'-x,-y,z'
'-x,y,z'
'x,-y,z'
'x,y+1/2,z+1/2'
'-x,-y+1/2,z+1/2'
'-x,y+1/2,z+1/2'
'x,-y+1/2,z+1/2'
loop_
_atom_site_label
_atom_site_type_symbol
_atom_site_fract_x
_atom_site_fract_y
_atom_site_fract_z
Cd1 Cd 0.000 0.000 0.000
Te1 Te 0.000 0.000 0.662
Te2 Te 0.500 0.000 0.397
Ir1 Ir 0.500 0.000 0.812
# * uncorrected formation energy: 27 meV per atom
# * V: 102.77 Å³/f.u.
# * magnetic moment: 0.000 μB per atom
# * electronic total energy: -4.491 eV/atom


(11)
# Tl2PAu | Alexandria via LeMat-Bulk | PBEsol | optimized geometry
data_Tl2PAu
_symmetry_space_group_name_H-M 'F m -3 m'
_symmetry_Int_Tables_number 225
_symmetry_space_group_name_Hall '-F 4 2 3'
_cell_length_a 7.040
_cell_length_b 7.040
_cell_length_c 7.040
_cell_angle_alpha 90.00
_cell_angle_beta 90.00
_cell_angle_gamma 90.00
loop_
_atom_site_label
_atom_site_type_symbol
_atom_site_fract_x
_atom_site_fract_y
_atom_site_fract_z
Tl1 Tl 0.250 0.250 0.250
P1 P 0.000 0.000 0.000
Au1 Au 0.000 0.000 0.500
# * V: 87.22 Å³/f.u.
# * DFT formation energy: 0.331 eV per atom
# * magnetic moment: 0.000 μB per atom
# * ΔE to the lowest computed polymorph: 345.1 meV per atom
# * electronic total energy: -3.413 eV/atom


(12)
# CuCl2F | Alexandria via LeMat-Bulk | PBEsol | optimized geometry
data_CuCl2F
_symmetry_space_group_name_H-M 'R -3 m'
_symmetry_Int_Tables_number 166
_symmetry_space_group_name_Hall '-R 3 2"'
_cell_length_a 3.9692
_cell_length_b 3.9692
_cell_length_c 20.1930
_cell_angle_alpha 90.00
_cell_angle_beta 90.00
_cell_angle_gamma 120.00
loop_
_atom_site_label
_atom_site_type_symbol
_atom_site_fract_x
_atom_site_fract_y
_atom_site_fract_z
Cu1 Cu 0.0000 0.0000 0.0000
Cl1 Cl 0.0000 0.0000 0.0996
F1 F 0.0000 0.0000 0.5000
# * uncorrected formation energy: 36 meV per atom
# * V: 91.84 Å³/f.u.
# * magnetic moment: 0.513 μB per atom
# * ΔE to the lowest computed polymorph: 28.5 meV per atom
# * electronic total energy: -2.534 eV/atom